No. 1
First-principles (PBE) data for crystalline SrVAu at its relaxed geometry, as listed in the Alexandria database.

The energy above the most stable polymorph in this dataset comes out at 39 meV per atom. Its crystal system is orthorhombic. The value obtained for the calculated formation energy is 0.0 eV per formula unit.

The space group is Imm2 (No. 44) and the conventional cell measures 4.711, 7.522 and 8.179 Å, with angles of 90.00, 90.00 and 90.00 degrees. The distinct sites, in fractional coordinates, are Sr at (0.000, 0.000, 0.000), Sr at (0.000, 0.500, 0.149), V at (0.000, 0.126, 0.400) and Au at (0.000, 0.304, 0.722).

---

No. 2
First-principles (PBE) data for crystalline CePb2Cl3O3 at its relaxed geometry, as listed in the Alexandria database.

The formation energy from raw total energies is -1.4210 eV per atom. Its crystal system is hexagonal.

The space group is P-62m (No. 189) and the conventional cell measures 7.2791, 7.2791 and 3.7536 Å, with angles of 90.00, 90.00 and 120.00 degrees. The distinct sites, in fractional coordinates, are Ce at (0.0000, 0.0000, 0.0000), Pb at (0.3333, 0.6667, 0.5000), Cl at (0.0000, 0.4117, 0.0000) and O at (0.0000, 0.7884, 0.5000).

---

No. 3
First-principles (PBE) data for crystalline Li2TbSnO4 at its relaxed geometry, as listed in the Alexandria database.

The formation energy from raw total energies is -2.1835 eV per atom. Its crystal system is tetragonal.

The space group is I-4m2 (No. 119) and the conventional cell measures 4.498, 4.498 and 10.091 Å, with angles of 90.00, 90.00 and 90.00 degrees. The distinct sites, in fractional coordinates, are Li at (0.000, 0.000, 0.000), Li at (0.000, 0.500, 0.250), Tb at (0.000, 0.500, 0.750), Sn at (0.000, 0.000, 0.500), O at (0.000, 0.000, 0.269) and O at (0.000, 0.500, 0.516).

---

no.,raw total energy (eV/atom)
1,-4.68
2,-5.17
3,-6.22